(1)
A relaxed NaDyS2O8 crystal, computed with PBE.

Cell: 5.4051 5.4051 7.1110 Å, 90.00 90.00 120.00°
Closest atoms and distances in Å follow each position.
Fractional positions:
Na1 0.0000 0.0000 0.0000  6 O 2.74
Dy1 0.0000 0.0000 0.5000  6 O 2.24
S1 0.6667 0.3333 0.2229  4 O 1.45-1.50
S2 0.3333 0.6667 0.7771  4 O 1.45-1.50
O1 0.3333 0.6667 0.9807  1 S 1.45
O2 0.3678 0.1834 0.2993  1 S 1.50
O3 0.8166 0.1844 0.2993  1 S 1.50
O4 0.6667 0.3333 0.0193  1 S 1.45
O5 0.1834 0.8156 0.7007  1 S 1.50
O6 0.6322 0.8166 0.7007  1 S 1.50
O7 0.1844 0.3678 0.7007  1 S 1.50
O8 0.8156 0.6322 0.2993  1 S 1.50

Crystal system: trigonal
Total moment, Bohr magnetons per cell: 0.00
SG: P-3m1, No. 164
Energy relative to the elements, uncorrected, eV/atom: -2.027

(2)
A relaxed NaDySO crystal, computed with PBE.

Cell: 3.6901 3.6901 6.5914 Å, 73.74 73.74 60.00°
Closest atoms and distances in Å follow each position.
Fractional positions:
Na1 0.5016 0.5016 0.4953  3 S 2.73, 3 O 2.84
Dy1 0.9861 0.9861 0.0418  3 O 2.33
S1 0.7439 0.7439 0.7682  3 Na 2.73, 3 Dy 2.73
O1 0.2684 0.2684 0.1948  3 Dy 2.33

Crystal system: trigonal
Total moment, Bohr magnetons per cell: 0.00
SG: R3m, No. 160
Energy relative to the elements, uncorrected, eV/atom: -2.240

(3)
A relaxed Na2DySO6 crystal, computed with PBE.

Cell: 5.6121 5.7588 5.7588 Å, 120.00 90.00 90.00°
Closest atoms and distances in Å follow each position.
Fractional positions:
Na1 0.0408 0.3333 0.6667  3 O 2.30
Na2 0.9592 0.6667 0.3333  3 O 2.30
Dy1 0.5000 0.0000 0.0000  6 O 2.28
S1 0.0000 0.0000 0.0000  6 O 1.69
O1 0.8238 0.1374 0.2747  1 S 1.69
O2 0.8238 0.1374 0.8626  1 S 1.69
O3 0.8238 0.7253 0.8626  1 S 1.69
O4 0.1762 0.8626 0.1374  1 S 1.69
O5 0.1762 0.2747 0.1374  1 S 1.69
O6 0.1762 0.8626 0.7253  1 S 1.69

Crystal system: trigonal
Total moment, Bohr magnetons per cell: 1.04
SG: P-3m1, No. 164
Energy relative to the elements, uncorrected, eV/atom: -1.591

(4)
A relaxed NaDy2SbO6 crystal, computed with PBE.

Cell: 5.6869 5.6868 6.0093 Å, 61.76 61.76 60.00°
Closest atoms and distances in Å follow each position.
Fractional positions:
Na1 0.7994 0.7994 0.6018  3 O 2.30
Dy1 0.5272 0.5272 0.4184  6 O 2.28-2.36
Dy2 0.0207 0.0207 0.9379  6 O 2.21-2.40
Sb1 0.3212 0.3212 0.0364  6 O 2.02-2.04
O1 0.5742 0.2289 0.2357  1 Sb 2.02
O2 0.2289 0.9612 0.2357  1 Sb 2.02
O3 0.9612 0.5742 0.2357  1 Sb 2.02
O4 0.3971 0.6881 0.7712  1 Sb 2.04, 1 Dy 2.21
O5 0.6881 0.1437 0.7712  1 Sb 2.04, 1 Dy 2.21
O6 0.1437 0.3970 0.7712  1 Sb 2.04, 1 Dy 2.21

Crystal system: trigonal
Total moment, Bohr magnetons per cell: 0.00
SG: R3, No. 146
Energy relative to the elements, uncorrected, eV/atom: -2.584